Version 1
Material: MnTe2W2
Method: DFT, GGA-PBE
State: relaxed

Lattice parameters (Å, degrees): 5.275 5.275 8.255 90.00 90.00 90.00
Space group I4/mmm (No. 139)
Symmetry-distinct sites (fractional):
Mn 0.000 0.000 0.000 [2 per cell]
Te 0.000 0.500 0.250 [4 per cell]
W 0.000 0.000 0.360 [4 per cell]

---

Version 2
Material: MnTe2W2
Method: DFT, GGA-PBE
State: relaxed

Lattice parameters (Å, degrees): 7.056 7.056 3.984 90.00 90.00 90.00
Space group P4/mbm (No. 127)
Symmetry-distinct sites (fractional):
Mn 0.000 0.000 0.000 [2 per cell]
Te 0.166 0.334 0.500 [4 per cell]
W 0.130 0.630 0.000 [4 per cell]

---

It is version 2 that is the most stable of them.

---

Version 1
Material: Mn3TeW
Method: DFT, GGA-PBE
State: relaxed

Lattice parameters (Å, degrees): 4.704 4.704 4.704 90.00 90.00 90.00
Space group Pm-3m (No. 221)
Symmetry-distinct sites (fractional):
Mn 0.000 0.000 0.500 [3 per cell]
Te 0.500 0.500 0.500 [1 per cell]
W 0.000 0.000 0.000 [1 per cell]

---

Version 2
Material: Mn3TeW
Method: DFT, GGA-PBE
State: relaxed

Lattice parameters (Å, degrees): 4.472 4.472 4.472 90.00 90.00 90.00
Space group Pm-3m (No. 221)
Symmetry-distinct sites (fractional):
Mn 0.000 0.000 0.500 [3 per cell]
Te 0.000 0.000 0.000 [1 per cell]
W 0.500 0.500 0.500 [1 per cell]

---

It is version 1 that is the most stable of them.

---

Version 1
Material: MnTeW3
Method: DFT, GGA-PBE
State: relaxed

Lattice parameters (Å, degrees): 4.834 4.834 4.834 90.00 90.00 90.00
Space group Pm-3m (No. 221)
Symmetry-distinct sites (fractional):
Mn 0.000 0.000 0.000 [1 per cell]
Te 0.500 0.500 0.500 [1 per cell]
W 0.000 0.500 0.500 [3 per cell]

---

Version 2
Material: MnTeW3
Method: DFT, GGA-PBE
State: relaxed

Lattice parameters (Å, degrees): 4.559 4.559 4.559 90.00 90.00 90.00
Space group Pm-3m (No. 221)
Symmetry-distinct sites (fractional):
Mn 0.000 0.000 0.000 [1 per cell]
Te 0.500 0.500 0.500 [1 per cell]
W 0.000 0.000 0.500 [3 per cell]

---

It is version 2 that is the most stable of them.

---

Version 1
Material: YMn3Te
Method: DFT, GGA-PBE
State: relaxed

Lattice parameters (Å, degrees): 4.862 4.862 4.862 90.00 90.00 90.00
Space group Pm-3m (No. 221)
Symmetry-distinct sites (fractional):
Y 0.000 0.000 0.000 [1 per cell]
Mn 0.000 0.500 0.500 [3 per cell]
Te 0.500 0.500 0.500 [1 per cell]

---

Version 2
Material: YMn3Te
Method: DFT, GGA-PBE
State: relaxed

Lattice parameters (Å, degrees): 5.045 5.045 5.045 90.00 90.00 90.00
Space group Pm-3m (No. 221)
Symmetry-distinct sites (fractional):
Y 0.000 0.000 0.000 [1 per cell]
Mn 0.000 0.000 0.500 [3 per cell]
Te 0.500 0.500 0.500 [1 per cell]

---

It is version 1 that is the most stable of them.